[1]
A geometry-optimized CsGa3Cu structure. Source: Alexandria via LeMat-Bulk, functional GGA-PBE.

ΔE_f = 1.545 eV/atom
distance to the lowest polymorph of the same formula = 723 kJ/mol of formula units
SG = Pm-3m, No. 221

abc: 6.177 6.177 6.177
angles: 90.00 90.00 90.00
Element x y z (fractional)
1 Cs 0.000 0.000 0.000
2 Cu 0.500 0.500 0.500
3 Ga 0.000 0.500 0.000
4 Ga 0.000 0.000 0.500
5 Ga 0.500 0.000 0.000


[2]
A geometry-optimized Cs2GaCu structure. Source: Alexandria via LeMat-Bulk, functional GGA-PBE.

ΔE_f = 0.494 eV/atom
SG = Fm-3m, No. 225

abc: 6.300 6.300 6.300
angles: 60.00 60.00 60.00
Element x y z (fractional)
1 Cs 0.250 0.250 0.250
2 Cs 0.750 0.750 0.750
3 Cu 0.000 0.000 0.000
4 Ga 0.500 0.500 0.500


[3]
A geometry-optimized CsGa2Cu2 structure. Source: Alexandria via LeMat-Bulk, functional GGA-PBE.

ΔE_f = 0.286 eV/atom
distance to the lowest polymorph of the same formula = 105 kJ/mol of formula units
SG = P4/mbm, No. 127

abc: 8.490 8.490 3.241
angles: 90.00 90.00 90.00
Element x y z (fractional)
1 Cs 0.000 0.000 0.000
2 Cs 0.500 0.500 0.000
3 Cu 0.388 0.888 0.000
4 Cu 0.888 0.612 0.000
5 Cu 0.612 0.112 0.000
6 Cu 0.112 0.388 0.000
7 Ga 0.128 0.628 0.500
8 Ga 0.628 0.872 0.500
9 Ga 0.872 0.372 0.500
10 Ga 0.372 0.128 0.500


[4]
A geometry-optimized CsGa8Cu6 structure. Source: Alexandria via LeMat-Bulk, functional GGA-PBE.

ΔE_f = 0.099 eV/atom
SG = R-3, No. 148

abc: 6.783 6.783 6.783
angles: 71.14 71.14 71.14
Element x y z (fractional)
1 Cs 0.000 0.000 0.000
2 Ga 0.230 0.516 0.851
3 Ga 0.149 0.770 0.484
4 Ga 0.484 0.149 0.770
5 Ga 0.769 0.769 0.769
6 Ga 0.231 0.231 0.231
7 Ga 0.516 0.851 0.230
8 Ga 0.851 0.230 0.516
9 Ga 0.770 0.484 0.149
10 Cu 0.173 0.368 0.557
11 Cu 0.443 0.827 0.632
12 Cu 0.632 0.443 0.827
13 Cu 0.368 0.557 0.173
14 Cu 0.557 0.173 0.368
15 Cu 0.827 0.632 0.443


[5]
A geometry-optimized CsGa4Cu2 structure. Source: Alexandria via LeMat-Bulk, functional GGA-PBE.

ΔE_f = 0.901 eV/atom
SG = I4/mmm, No. 139

abc: 5.707 5.707 8.072
angles: 69.30 69.30 90.00
Element x y z (fractional)
1 Cs 0.000 0.000 0.000
2 Cu 0.582 0.582 0.836
3 Cu 0.418 0.418 0.164
4 Ga 0.750 0.750 0.500
5 Ga 0.250 0.250 0.500
6 Ga 0.000 0.500 0.000
7 Ga 0.500 0.000 0.000


[6]
A geometry-optimized CsGa3Cu structure. Source: Alexandria via LeMat-Bulk, functional GGA-PBE.

ΔE_f = 0.204 eV/atom
distance to the lowest polymorph of the same formula = 76 kJ/mol of formula units
SG = Pm-3m, No. 221

abc: 5.042 5.042 5.042
angles: 90.00 90.00 90.00
Element x y z (fractional)
1 Cs 0.500 0.500 0.500
2 Cu 0.000 0.000 0.000
3 Ga 0.000 0.500 0.000
4 Ga 0.000 0.000 0.500
5 Ga 0.500 0.000 0.000


Computed values of calculated density (unit: g/cm3) for the preceding records, in sequence: 2.86 3.75 5.68 6.57 3.93 5.26.